5
Lattice="-2.756 2.803 0.360 -3.182 -3.384 1.991 1.722 1.100 4.623" Properties=species:S:1:pos:R:3 comment="Dy2TlOsC | Alexandria via LeMat-Bulk | PBE | optimized geometry" dos_at_fermi_per_ev_cell=2.643 ef_ev_per_atom=-0.342 crystal_system=tetragonal total_energy_ev_per_fu=-33.73 m_tot_mub_per_atom=0.000 pbc="T T T"
Dy -1.591 -1.692 0.996
Dy 0.861 0.550 2.311
Tl -2.108 0.259 3.487
C 0.000 0.000 0.000
Os -1.378 1.401 0.180